Density functional theory data (PBE-GGA) for a relaxed Ca2EuHg crystal.

Calculated values
- calculated total energy (eV per atom) = -3.911
- M_tot (Bohr magnetons per cell) = 8.27
- formation enthalpy at 0 K (meV/atom) = -266
- distance to the lowest polymorph of the same formula (meV/atom) = 0.0
- density of states at the Fermi level (states/eV/atom) = 2.099

Cell lengths 3.8258, 3.8258, 9.5934 Å; angles 90.00, 90.00, 90.00 degrees
Element x y z (fractional)
Ca1 0.0000 0.0000 0.1900
Ca2 0.0000 0.0000 0.8100
Eu1 0.5000 0.5000 0.5000
Hg1 0.5000 0.5000 0.0000

=====

Density functional theory data (PBE-GGA) for a relaxed Ca2EuHg crystal.

Calculated values
- calculated total energy (eV per atom) = -3.767
- M_tot (Bohr magnetons per cell) = 7.19
- formation enthalpy at 0 K (meV/atom) = -123
- distance to the lowest polymorph of the same formula (meV/atom) = 143.1
- density of states at the Fermi level (states/eV/atom) = 0.735

Cell lengths 5.6554, 5.6554, 5.6554 Å; angles 60.00, 60.00, 60.00 degrees
Element x y z (fractional)
Ca1 0.2500 0.2500 0.2500
Ca2 0.7500 0.7500 0.7500
Eu1 0.0000 0.0000 0.0000
Hg1 0.5000 0.5000 0.5000

=====

Density functional theory data (PBE-GGA) for a relaxed Ca2EuHg crystal.

Calculated values
- calculated total energy (eV per atom) = -3.819
- M_tot (Bohr magnetons per cell) = 8.09
- formation enthalpy at 0 K (meV/atom) = -174
- distance to the lowest polymorph of the same formula (meV/atom) = 91.8
- density of states at the Fermi level (states/eV/atom) = 2.403

Cell lengths 5.0160, 5.0160, 5.3262 Å; angles 90.00, 90.00, 90.00 degrees
Element x y z (fractional)
Ca1 0.0000 0.5000 0.0000
Ca2 0.5000 0.0000 0.0000
Eu1 0.0000 0.0000 0.5000
Hg1 0.5000 0.5000 0.5000

=====

Density functional theory data (PBE-GGA) for a relaxed CaEu2Hg crystal.

Calculated values
- calculated total energy (eV per atom) = -5.879
- M_tot (Bohr magnetons per cell) = 15.71
- formation enthalpy at 0 K (meV/atom) = -166
- distance to the lowest polymorph of the same formula (meV/atom) = 114.8
- density of states at the Fermi level (states/eV/atom) = 1.030

Cell lengths 5.1103, 5.1103, 5.1810 Å; angles 90.00, 90.00, 90.00 degrees
Element x y z (fractional)
Ca1 0.0000 0.0000 0.0000
Eu1 0.0000 0.5000 0.5000
Eu2 0.5000 0.0000 0.5000
Hg1 0.5000 0.5000 0.0000